No. 1
Density functional theory data (PBE) for a relaxed structure of KMo7.

Properties
Energy, eV per atom: -8.397

a b c (Å): 8.1815 8.1815 8.1815
angles (deg): 90.00 90.00 90.00
Last column: nearest neighbours and their distance in Å.
Space group Fm-3m (No. 225)
Unique sites:
K 0.0000 0.0000 0.0000 x4  12 Mo 2.89
Mo 0.0000 0.0000 0.5000 x4  12 Mo 2.89
Mo 0.0000 0.2500 0.2500 x24  10 Mo 2.89, 2 K 2.89

No. 2
Density functional theory data (PBE) for a relaxed structure of KMo.

Properties
Excess energy over the best structure of this formula in the dataset, meV/atom: 774

a b c (Å): 6.1919 6.1919 8.6721
angles (deg): 90.00 90.00 120.00
Last column: nearest neighbours and their distance in Å.
Space group P6_3/mmc (No. 194)
Unique sites:
K 0.0000 0.0000 0.2500 x2  3 K 3.57, 6 Mo 3.72
K 0.3333 0.6667 0.2500 x2  8 Mo 3.32-3.72, 3 K 3.57
Mo 0.3333 0.6667 0.6332 x4  1 Mo 2.03

No. 3
Density functional theory data (PBE) for a relaxed structure of K3Mo5.

Properties
Excess energy over the best structure of this formula in the dataset, meV/atom: 0

a b c (Å): 11.8351 11.8351 4.4694
angles (deg): 90.00 90.00 120.00
Last column: nearest neighbours and their distance in Å.
Space group P6_3/mcm (No. 193)
Unique sites:
K 0.0000 0.3717 0.2500 x6  8 Mo 3.68-3.90, 2 K 3.77
Mo 0.0000 0.1244 0.7500 x6  6 Mo 2.55-2.68
Mo 0.3333 0.6667 0.0000 x4  2 Mo 2.23

No. 4
Density functional theory data (PBE) for a relaxed structure of K3Mo5.

Properties
Excess energy over the best structure of this formula in the dataset, meV/atom: 120

a b c (Å): 9.6747 11.1382 3.0233
angles (deg): 90.00 90.00 90.00
Last column: nearest neighbours and their distance in Å.
Space group Cmmm (No. 65)
Unique sites:
K 0.0000 0.0000 0.0000 x2  6 K 2.72-3.02
K 0.2338 0.0000 0.5000 x4  4 K 2.72-3.02, 2 Mo 2.99
Mo 0.0000 0.3004 0.5000 x4  6 Mo 2.69-2.91
Mo 0.0000 0.5000 0.0000 x2  4 Mo 2.69, 4 K 2.99
Mo 0.2500 0.2500 0.0000 x4  6 Mo 2.91-3.02, 4 K 3.17

Table of magnetization (μB/f.u.), in record order: 0.00, 0.00, 0.13, 0.35